This record from Alexandria describes a relaxed ZrF crystal. The functional is PBE-GGA.

```
data_ZrF
_space_group_name_H-M_alt 'P 1'
_space_group_IT_number 1
_cell_length_a 3.1345
_cell_length_b 6.0120
_cell_length_c 10.7472
_cell_angle_alpha 90.00
_cell_angle_beta 90.00
_cell_angle_gamma 90.00
loop_
_space_group_symop_operation_xyz
'x,y,z'
loop_
_atom_site_label
_atom_site_type_symbol
_atom_site_fract_x
_atom_site_fract_y
_atom_site_fract_z
F1 F 0.0000 0.8445 0.6881
Zr1 Zr 0.5000 0.0297 0.0000
Zr2 Zr 0.5000 0.3449 0.6487
Zr3 Zr 0.5000 0.3449 0.3513
F2 F 0.5000 0.1555 0.8119
Zr4 Zr 0.0000 0.6551 0.1487
F3 F 0.5000 0.1555 0.1880
Zr5 Zr 0.0000 0.6551 0.8513
F4 F 0.5000 0.6308 0.5000
F5 F 0.0000 0.8445 0.3120
F6 F 0.0000 0.3692 0.0000
Zr6 Zr 0.0000 0.9703 0.5000
```

Computed properties:
The total DFT energy (no corrections) comes out at -7.08 eV per atom. For the density of states at the Fermi level, the calculation gives 1.75 states/eV/f.u.

=====

This record from Alexandria describes a relaxed SmYRe crystal. The functional is PBE-GGA.

```
data_SmYRe
_space_group_name_H-M_alt 'P 1'
_space_group_IT_number 1
_cell_length_a 3.2275
_cell_length_b 3.2275
_cell_length_c 14.6176
_cell_angle_alpha 90.00
_cell_angle_beta 90.00
_cell_angle_gamma 90.00
loop_
_space_group_symop_operation_xyz
'x,y,z'
loop_
_atom_site_label
_atom_site_type_symbol
_atom_site_fract_x
_atom_site_fract_y
_atom_site_fract_z
Y1 Y 0.0000 0.5000 0.1889
Sm1 Sm 0.5000 0.0000 0.4054
Re1 Re 0.5000 0.0000 0.0460
Re2 Re 0.0000 0.5000 0.9540
Sm2 Sm 0.0000 0.5000 0.5946
Y2 Y 0.5000 0.0000 0.8111
```

Computed properties:
The formation energy comes out at 0.102 eV per atom. For the density of states at the Fermi level, the calculation gives 3.35 states/eV/f.u.

=====

This record from Alexandria describes a relaxed Na2In2Ag3 crystal. The functional is PBE-GGA.

```
data_Na2In2Ag3
_space_group_name_H-M_alt 'P 1'
_space_group_IT_number 1
_cell_length_a 4.7524
_cell_length_b 4.8797
_cell_length_c 8.1661
_cell_angle_alpha 94.51
_cell_angle_beta 106.07
_cell_angle_gamma 118.09
loop_
_space_group_symop_operation_xyz
'x,y,z'
loop_
_atom_site_label
_atom_site_type_symbol
_atom_site_fract_x
_atom_site_fract_y
_atom_site_fract_z
Ag1 Ag 0.5654 0.2885 0.8389
Ag2 Ag 0.0000 0.0000 0.0000
Na1 Na 0.7259 0.8632 0.5851
Na2 Na 0.2741 0.1368 0.4149
Ag3 Ag 0.4346 0.7115 0.1611
In1 In 0.8072 0.3924 0.2206
In2 In 0.1928 0.6076 0.7794
```

Computed properties:
The formation energy comes out at -0.064 eV per atom. For the density of states at the Fermi level, the calculation gives 2.17 states/eV/f.u.

=====

This record from Alexandria describes a relaxed PmNd3F crystal. The functional is PBE-GGA.

```
data_PmNd3F
_space_group_name_H-M_alt 'P 1'
_space_group_IT_number 1
_cell_length_a 5.2110
_cell_length_b 5.2110
_cell_length_c 5.2110
_cell_angle_alpha 90.00
_cell_angle_beta 90.00
_cell_angle_gamma 90.00
loop_
_space_group_symop_operation_xyz
'x,y,z'
loop_
_atom_site_label
_atom_site_type_symbol
_atom_site_fract_x
_atom_site_fract_y
_atom_site_fract_z
F1 F 0.0000 0.0000 0.0000
Nd1 Nd 0.5000 0.0000 0.0000
Nd2 Nd 0.0000 0.5000 0.0000
Pm1 Pm 0.5000 0.5000 0.5000
Nd3 Nd 0.0000 0.0000 0.5000
```

Computed properties:
The total DFT energy (no corrections) comes out at -5.16 eV per atom. For the density of states at the Fermi level, the calculation gives 5.16 states/eV/f.u.

=====

This record from Alexandria describes a relaxed Si2PtPb crystal. The functional is PBE-GGA.

```
data_Si2PtPb
_space_group_name_H-M_alt 'P 1'
_space_group_IT_number 1
_cell_length_a 5.8371
_cell_length_b 5.8371
_cell_length_c 5.8371
_cell_angle_alpha 150.20
_cell_angle_beta 124.78
_cell_angle_gamma 64.01
loop_
_space_group_symop_operation_xyz
'x,y,z'
loop_
_atom_site_label
_atom_site_type_symbol
_atom_site_fract_x
_atom_site_fract_y
_atom_site_fract_z
Si1 Si 0.0443 0.0443 0.0000
Pb1 Pb 0.7500 0.2500 0.5000
Si2 Si 0.4557 0.4557 0.0000
Pt1 Pt 0.2500 0.7500 0.5000
```

Computed properties:
The total DFT energy (no corrections) comes out at -4.93 eV per atom. For the density of states at the Fermi level, the calculation gives 2.19 states/eV/f.u.

=====

This record from Alexandria describes a relaxed AlCd2Si2Pd5 crystal. The functional is PBE-GGA.

```
data_AlCd2Si2Pd5
_space_group_name_H-M_alt 'P 1'
_space_group_IT_number 1
_cell_length_a 3.0873
_cell_length_b 10.2308
_cell_length_c 10.2308
_cell_angle_alpha 90.00
_cell_angle_beta 90.00
_cell_angle_gamma 90.00
loop_
_space_group_symop_operation_xyz
'x,y,z'
loop_
_atom_site_label
_atom_site_type_symbol
_atom_site_fract_x
_atom_site_fract_y
_atom_site_fract_z
Cd1 Cd 0.0000 0.6784 0.1784
Si1 Si 0.0000 0.3659 0.1341
Pd1 Pd 0.5000 0.2038 0.0379
Si2 Si 0.0000 0.1341 0.6341
Cd2 Cd 0.0000 0.3216 0.8216
Si3 Si 0.0000 0.6341 0.8659
Al1 Al 0.0000 0.0000 0.0000
Al2 Al 0.0000 0.5000 0.5000
Cd3 Cd 0.0000 0.8216 0.6784
Pd2 Pd 0.5000 0.7962 0.9621
Pd3 Pd 0.5000 0.9621 0.2038
Pd4 Pd 0.5000 0.7038 0.4621
Pd5 Pd 0.5000 0.5379 0.7038
Pd6 Pd 0.5000 0.0379 0.7962
Si4 Si 0.0000 0.8659 0.3659
Pd7 Pd 0.5000 0.0000 0.5000
Pd8 Pd 0.5000 0.2962 0.5379
Cd4 Cd 0.0000 0.1784 0.3216
Pd9 Pd 0.5000 0.5000 0.0000
Pd10 Pd 0.5000 0.4621 0.2962
```

Computed properties:
The total DFT energy (no corrections) comes out at -4.72 eV per atom. For the density of states at the Fermi level, the calculation gives 3.92 states/eV/f.u.

=====

This record from Alexandria describes a relaxed BaTbTm2 crystal. The functional is PBE-GGA.

```
data_BaTbTm2
_space_group_name_H-M_alt 'P 1'
_space_group_IT_number 1
_cell_length_a 3.5728
_cell_length_b 3.5728
_cell_length_c 12.9203
_cell_angle_alpha 82.05
_cell_angle_beta 82.05
_cell_angle_gamma 60.00
loop_
_space_group_symop_operation_xyz
'x,y,z'
loop_
_atom_site_label
_atom_site_type_symbol
_atom_site_fract_x
_atom_site_fract_y
_atom_site_fract_z
Tb1 Tb 0.5000 0.5000 0.5000
Tm1 Tm 0.0938 0.0938 0.7187
Tm2 Tm 0.9062 0.9062 0.2813
Ba1 Ba 0.0000 0.0000 0.0000
```

Computed properties:
The formation energy comes out at 0.244 eV per atom. For the density of states at the Fermi level, the calculation gives 5.72 states/eV/f.u.

=====

This record from Alexandria describes a relaxed Pu2ThPb9 crystal. The functional is PBE-GGA.

```
data_Pu2ThPb9
_space_group_name_H-M_alt 'P 1'
_space_group_IT_number 1
_cell_length_a 5.6589
_cell_length_b 5.6589
_cell_length_c 11.2457
_cell_angle_alpha 90.00
_cell_angle_beta 90.00
_cell_angle_gamma 90.00
loop_
_space_group_symop_operation_xyz
'x,y,z'
loop_
_atom_site_label
_atom_site_type_symbol
_atom_site_fract_x
_atom_site_fract_y
_atom_site_fract_z
Th1 Th 0.0000 0.0000 0.0000
Pb1 Pb 0.5000 0.5000 0.0000
Pu1 Pu 0.0000 0.0000 0.3327
Pb2 Pb 0.5000 0.0000 0.5000
Pb3 Pb 0.0000 0.5000 0.8307
Pb4 Pb 0.0000 0.5000 0.5000
Pb5 Pb 0.5000 0.0000 0.8307
Pb6 Pb 0.5000 0.5000 0.3357
Pb7 Pb 0.5000 0.5000 0.6643
Pb8 Pb 0.5000 0.0000 0.1693
Pb9 Pb 0.0000 0.5000 0.1693
Pu2 Pu 0.0000 0.0000 0.6673
```

Computed properties:
The formation energy comes out at -0.074 eV per atom. For the density of states at the Fermi level, the calculation gives 24.99 states/eV/f.u.

=====

This record from Alexandria describes a relaxed BaAs2Ru crystal. The functional is PBE-GGA.

```
data_BaAs2Ru
_space_group_name_H-M_alt 'P 1'
_space_group_IT_number 1
_cell_length_a 7.4981
_cell_length_b 7.4981
_cell_length_c 6.5666
_cell_angle_alpha 55.18
_cell_angle_beta 55.18
_cell_angle_gamma 90.00
loop_
_space_group_symop_operation_xyz
'x,y,z'
loop_
_atom_site_label
_atom_site_type_symbol
_atom_site_fract_x
_atom_site_fract_y
_atom_site_fract_z
Ba1 Ba 0.7500 0.2500 0.5000
Ru1 Ru 0.5000 0.5000 0.0000
Ba2 Ba 0.0000 0.0000 0.0000
As1 As 0.2301 0.6250 0.2500
As2 As 0.8750 0.7699 0.7500
Ru2 Ru 0.2500 0.7500 0.5000
As3 As 0.5199 0.1250 0.2500
As4 As 0.3750 0.4801 0.7500
```

Computed properties:
The formation energy comes out at -0.462 eV per atom. For the density of states at the Fermi level, the calculation gives 3.00 states/eV/f.u.

=====

This record from Alexandria describes a relaxed Nd7Dy12Tm crystal. The functional is PBE-GGA.

```
data_Nd7Dy12Tm
_space_group_name_H-M_alt 'P 1'
_space_group_IT_number 1
_cell_length_a 9.8104
_cell_length_b 9.8104
_cell_length_c 9.8104
_cell_angle_alpha 109.47
_cell_angle_beta 109.47
_cell_angle_gamma 109.47
loop_
_space_group_symop_operation_xyz
'x,y,z'
loop_
_atom_site_label
_atom_site_type_symbol
_atom_site_fract_x
_atom_site_fract_y
_atom_site_fract_z
Nd1 Nd 0.5000 0.0000 0.0000
Nd2 Nd 0.0000 0.0000 0.5000
Dy1 Dy 0.2450 0.7546 0.9997
Dy2 Dy 0.7546 0.5096 0.7550
Dy3 Dy 0.7550 0.7546 0.5096
Dy4 Dy 0.4904 0.2450 0.2454
Dy5 Dy 0.7550 0.2454 0.0003
Nd3 Nd 0.5000 0.5000 0.0000
Nd4 Nd 0.5000 0.5000 0.5000
Dy6 Dy 0.0003 0.7550 0.2454
Nd5 Nd 0.0000 0.5000 0.0000
Tm1 Tm 0.0000 0.0000 0.0000
Dy7 Dy 0.2454 0.4904 0.2450
Dy8 Dy 0.9997 0.2450 0.7546
Nd6 Nd 0.5000 0.0000 0.5000
Dy9 Dy 0.2450 0.2454 0.4904
Dy10 Dy 0.2454 0.0003 0.7550
Nd7 Nd 0.0000 0.5000 0.5000
Dy11 Dy 0.5096 0.7550 0.7546
Dy12 Dy 0.7546 0.9997 0.2450
```

Computed properties:
The formation energy comes out at 0.642 eV per atom. For the density of states at the Fermi level, the calculation gives 27.62 states/eV/f.u.

=====

This record from Alexandria describes a relaxed CdPIrS2 crystal. The functional is PBE-GGA.

```
data_CdPIrS2
_space_group_name_H-M_alt 'P 1'
_space_group_IT_number 1
_cell_length_a 4.8265
_cell_length_b 4.8265
_cell_length_c 4.8425
_cell_angle_alpha 90.00
_cell_angle_beta 90.00
_cell_angle_gamma 90.00
loop_
_space_group_symop_operation_xyz
'x,y,z'
loop_
_atom_site_label
_atom_site_type_symbol
_atom_site_fract_x
_atom_site_fract_y
_atom_site_fract_z
S1 S 0.5000 0.0000 0.0000
S2 S 0.0000 0.5000 0.0000
Ir1 Ir 0.5000 0.5000 0.5000
Cd1 Cd 0.0000 0.0000 0.0000
P1 P 0.0000 0.0000 0.5000
```

Computed properties:
The total DFT energy (no corrections) comes out at -2.95 eV per atom. For the density of states at the Fermi level, the calculation gives 6.77 states/eV/f.u.

=====

This record from Alexandria describes a relaxed Na2OsPbO4 crystal. The functional is PBE-GGA.

```
data_Na2OsPbO4
_space_group_name_H-M_alt 'P 1'
_space_group_IT_number 1
_cell_length_a 5.4331
_cell_length_b 5.4331
_cell_length_c 5.4331
_cell_angle_alpha 101.25
_cell_angle_beta 113.73
_cell_angle_gamma 113.73
loop_
_space_group_symop_operation_xyz
'x,y,z'
loop_
_atom_site_label
_atom_site_type_symbol
_atom_site_fract_x
_atom_site_fract_y
_atom_site_fract_z
Os1 Os 0.0000 0.5000 0.5000
O1 O 0.0652 0.7468 0.2979
Na1 Na 0.5000 0.7500 0.2500
Pb1 Pb 0.5000 0.2500 0.7500
O2 O 0.4489 0.7021 0.7673
O3 O 0.9348 0.2327 0.6816
Na2 Na 0.0000 0.0000 0.0000
O4 O 0.5511 0.3184 0.2532
```

Computed properties:
The total DFT energy (no corrections) comes out at -5.82 eV per atom. For the density of states at the Fermi level, the calculation gives 3.34 states/eV/f.u.